# 1
First-principles (GGA-PBE) data for a relaxed LiTeCl crystal, as listed in Alexandria.

Summary:
ΔE to the lowest computed polymorph	0.000	eV per atom
E_form (uncorrected)	-0.9984	eV per atom
volume	184	Å³/cell

Cell lengths 3.236, 3.236, 17.590 Å; angles 90.00, 90.00, 90.00 degrees
Positions (direct):
1 Li 0.000 0.000 0.000
2 Li 0.500 0.500 0.500
3 Te 0.000 0.000 0.776
4 Te 0.500 0.500 0.276
5 Cl 0.000 0.000 0.507
6 Cl 0.500 0.500 0.007

# 2
First-principles (GGA-PBE) data for a relaxed Li4TeCl crystal, as listed in Alexandria.

Summary:
E_form (uncorrected)	-0.4807	eV per atom
volume	118	Å³/cell

Cell lengths 5.501, 5.501, 5.501 Å; angles 60.00, 60.00, 60.00 degrees
Positions (direct):
1 Li 0.376 0.376 0.376
2 Li 0.376 0.376 0.873
3 Li 0.376 0.873 0.376
4 Li 0.873 0.376 0.376
5 Te 0.000 0.000 0.000
6 Cl 0.750 0.750 0.750